#one
Below is crystalline Hf2Al2Ni3Pd at its relaxed geometry, with properties calculated at the GGA-PBE level.

a b c (Å): 4.354 4.354 6.197
angles (deg): 90.00 90.00 90.00
Space group P-4m2 (No. 115)
One atom of each set of equivalent atoms:
Hf1 0.000 0.500 0.238 x2
Al1 0.000 0.500 0.755 x2
Ni1 0.000 0.000 0.000 x1
Ni2 0.500 0.500 0.000 x1
Ni3 0.500 0.500 0.500 x1
Pd1 0.000 0.000 0.500 x1

## Properties
Density   9.8 g cm⁻³

#two
Below is crystalline Hf2Al2Ni3Pd at its relaxed geometry, with properties calculated at the GGA-PBE level.

a b c (Å): 4.1373 4.1373 8.1596
angles (deg): 90.00 90.00 120.00
Space group P3m1 (No. 156)
One atom of each set of equivalent atoms:
Hf1 0.0000 0.0000 0.0000 x1
Hf2 0.3333 0.6667 0.4831 x1
Al1 0.6667 0.3333 0.2408 x1
Al2 0.6667 0.3333 0.7600 x1
Ni1 0.0000 0.0000 0.3223 x1
Ni2 0.3333 0.6667 0.1585 x1
Ni3 0.3333 0.6667 0.8355 x1
Pd1 0.0000 0.0000 0.6535 x1

## Properties
Density   9.5 g cm⁻³

Most stable structure - #two; separation to the second - 1.0 kJ/mol of atoms.

#one
Below is crystalline Hf2Al2O5 at its relaxed geometry, with properties calculated at the GGA-PBE level.

a b c (Å): 3.488 3.488 8.791
angles (deg): 90.00 90.00 90.00
Space group P4/mmm (No. 123)
One atom of each set of equivalent atoms:
Hf1 0.000 0.000 0.241 x2
Al1 0.500 0.500 0.000 x1
Al2 0.500 0.500 0.500 x1
O1 0.000 0.000 0.000 x1
O2 0.000 0.500 0.365 x4

## Properties
Density   7.6 g cm⁻³

#two
Below is crystalline Hf2Al2O5 at its relaxed geometry, with properties calculated at the GGA-PBE level.

a b c (Å): 3.772 3.772 6.249
angles (deg): 90.00 90.00 90.00
Space group P4/mmm (No. 123)
One atom of each set of equivalent atoms:
Hf1 0.000 0.000 0.000 x1
Hf2 0.000 0.000 0.500 x1
Al1 0.500 0.500 0.214 x2
O1 0.000 0.500 0.239 x4
O2 0.500 0.500 0.500 x1

## Properties
Density   9.2 g cm⁻³

Most stable structure - #one; separation to the second - 23.9 kJ/mol of atoms.

#one
Below is crystalline HfAlPb at its relaxed geometry, with properties calculated at the GGA-PBE level.

a b c (Å): 6.815 6.815 6.815
angles (deg): 90.00 90.00 90.00
Space group F-43m (No. 216)
One atom of each set of equivalent atoms:
Hf1 0.000 0.000 0.000 x4
Al1 0.250 0.250 0.750 x4
Pb1 0.250 0.250 0.250 x4

## Properties
Density   8.7 g cm⁻³

#two
Below is crystalline HfAlPb at its relaxed geometry, with properties calculated at the GGA-PBE level.

a b c (Å): 6.698 6.698 6.698
angles (deg): 90.00 90.00 90.00
Space group F-43m (No. 216)
One atom of each set of equivalent atoms:
Hf1 0.000 0.000 0.000 x4
Al1 0.250 0.250 0.250 x4
Pb1 0.000 0.000 0.500 x4

## Properties
Density   9.1 g cm⁻³

Most stable structure - #one; separation to the second - 3.8 kJ/mol of atoms.

#one
Below is crystalline HfUAl at its relaxed geometry, with properties calculated at the GGA-PBE level.

a b c (Å): 6.725 6.725 6.725
angles (deg): 90.00 90.00 90.00
Space group F-43m (No. 216)
One atom of each set of equivalent atoms:
Hf1 0.000 0.000 0.000 x4
U1 0.000 0.000 0.500 x4
Al1 0.250 0.250 0.250 x4

## Properties
Density   9.7 g cm⁻³

#two
Below is crystalline HfUAl at its relaxed geometry, with properties calculated at the GGA-PBE level.

a b c (Å): 6.810 6.810 6.810
angles (deg): 90.00 90.00 90.00
Space group F-43m (No. 216)
One atom of each set of equivalent atoms:
Hf1 0.000 0.000 0.000 x4
U1 0.250 0.250 0.250 x4
Al1 0.000 0.000 0.500 x4

## Properties
Density   9.3 g cm⁻³

Most stable structure - #one; separation to the second - 50.9 kJ/mol of atoms.

#one
Below is crystalline HfZrAl2 at its relaxed geometry, with properties calculated at the GGA-PBE level.

a b c (Å): 3.918 3.918 20.715
angles (deg): 90.00 90.00 90.00
Space group I4_1md (No. 109)
One atom of each set of equivalent atoms:
Hf1 0.000 0.000 0.000 x4
Zr1 0.000 0.000 0.605 x4
Al1 0.000 0.000 0.138 x4
Al2 0.000 0.000 0.467 x4

## Properties
Density   6.8 g cm⁻³

#two
Below is crystalline HfZrAl2 at its relaxed geometry, with properties calculated at the GGA-PBE level.

a b c (Å): 6.724 6.724 6.724
angles (deg): 90.00 90.00 90.00
Space group F-43m (No. 216)
One atom of each set of equivalent atoms:
Hf1 0.000 0.000 0.000 x4
Zr1 0.250 0.250 0.250 x4
Al1 0.000 0.000 0.500 x4
Al2 0.250 0.250 0.750 x4

## Properties
Density   7.1 g cm⁻³

Most stable structure - #one; separation to the second - 39.2 kJ/mol of atoms.

#one
Below is crystalline Hf2ZrAl2 at its relaxed geometry, with properties calculated at the GGA-PBE level.

a b c (Å): 3.869 3.869 14.369
angles (deg): 90.00 90.00 90.00
Space group I4/mmm (No. 139)
One atom of each set of equivalent atoms:
Hf1 0.000 0.000 0.100 x4
Zr1 0.000 0.000 0.500 x2
Al1 0.000 0.500 0.250 x4

## Properties
Density   7.8 g cm⁻³

#two
Below is crystalline Hf2ZrAl2 at its relaxed geometry, with properties calculated at the GGA-PBE level.

a b c (Å): 4.003 4.003 12.904
angles (deg): 90.00 90.00 90.00
Space group I4/mmm (No. 139)
One atom of each set of equivalent atoms:
Hf1 0.000 0.500 0.250 x4
Zr1 0.000 0.000 0.000 x2
Al1 0.000 0.000 0.406 x4

## Properties
Density   8.1 g cm⁻³

Most stable structure - #two; separation to the second - 34.5 kJ/mol of atoms.

#one
Below is crystalline HfZr2Al2 at its relaxed geometry, with properties calculated at the GGA-PBE level.

a b c (Å): 3.995 3.995 13.010
angles (deg): 90.00 90.00 90.00
Space group I4/mmm (No. 139)
One atom of each set of equivalent atoms:
Hf1 0.000 0.000 0.000 x2
Zr1 0.000 0.500 0.250 x4
Al1 0.000 0.000 0.407 x4

## Properties
Density   6.6 g cm⁻³

#two
Below is crystalline HfZr2Al2 at its relaxed geometry, with properties calculated at the GGA-PBE level.

a b c (Å): 3.863 3.863 14.465
angles (deg): 90.00 90.00 90.00
Space group I4/mmm (No. 139)
One atom of each set of equivalent atoms:
Hf1 0.000 0.000 0.000 x2
Zr1 0.000 0.000 0.401 x4
Al1 0.000 0.500 0.250 x4

## Properties
Density   6.4 g cm⁻³

Most stable structure - #one; separation to the second - 30.8 kJ/mol of atoms.

#one
Below is crystalline Al3Hg at its relaxed geometry, with properties calculated at the GGA-PBE level.

a b c (Å): 4.207 4.207 4.207
angles (deg): 90.00 90.00 90.00
Space group Pm-3m (No. 221)
One atom of each set of equivalent atoms:
Al1 0.000 0.000 0.500 x3
Hg1 0.500 0.500 0.500 x1

## Properties
Density   6.3 g cm⁻³

#two
Below is crystalline Al3Hg at its relaxed geometry, with properties calculated at the GGA-PBE level.

a b c (Å): 6.759 6.759 6.759
angles (deg): 90.00 90.00 90.00
Space group Fm-3m (No. 225)
One atom of each set of equivalent atoms:
Al1 0.000 0.000 0.000 x4
Al2 0.250 0.250 0.250 x8
Hg1 0.000 0.000 0.500 x4

## Properties
Density   6.1 g cm⁻³

Most stable structure - #one; separation to the second - 6.6 kJ/mol of atoms.

#one
Below is crystalline La2Al3Hg3 at its relaxed geometry, with properties calculated at the GGA-PBE level.

a b c (Å): 4.777 6.803 11.986
angles (deg): 90.00 90.00 90.00
Space group Amm2 (No. 38)
One atom of each set of equivalent atoms:
La1 0.000 0.000 0.000 x2
La2 0.500 0.000 0.343 x2
Al1 0.000 0.000 0.524 x2
Al2 0.500 0.210 0.593 x4
Hg1 0.000 0.246 0.734 x4
Hg2 0.500 0.000 0.821 x2

## Properties
Density   8.2 g cm⁻³

#two
Below is crystalline La2Al3Hg3 at its relaxed geometry, with properties calculated at the GGA-PBE level.

a b c (Å): 6.816 4.783 6.822
angles (deg): 90.00 119.23 90.00
Space group Pm (No. 6)
One atom of each set of equivalent atoms:
La1 0.000 0.000 0.000 x1
La2 0.333 0.500 0.674 x1
Al1 0.373 0.500 0.184 x1
Al2 0.503 0.000 0.040 x1
Al3 0.802 0.500 0.619 x1
Hg1 0.505 0.000 0.484 x1
Hg2 0.801 0.500 0.169 x1
Hg3 0.978 0.000 0.503 x1

## Properties
Density   8.2 g cm⁻³

#three
Below is crystalline La2Al3Hg3 at its relaxed geometry, with properties calculated at the GGA-PBE level.

a b c (Å): 6.9309 6.9309 4.6993
angles (deg): 90.00 90.00 120.00
Space group P-6m2 (No. 187)
One atom of each set of equivalent atoms:
La1 0.0000 0.0000 0.0000 x1
La2 0.3333 0.6667 0.5000 x1
Al1 0.3946 0.1973 0.5000 x3
Hg1 0.5123 0.0246 0.0000 x3

## Properties
Density   8.2 g cm⁻³

Most stable structure - #three; separation to the second - 1.6 kJ/mol of atoms.

#one
Below is crystalline AlHgNO at its relaxed geometry, with properties calculated at the GGA-PBE level.

a b c (Å): 5.582 7.422 5.380
angles (deg): 90.00 90.00 90.00
Space group Pca2_1 (No. 29)
One atom of each set of equivalent atoms:
Al1 0.099 0.103 0.000 x4
Hg1 0.185 0.623 0.864 x4
N1 0.036 0.341 0.045 x4
O1 0.125 0.038 0.665 x4

## Properties
Density   7.7 g cm⁻³

#two
Below is crystalline AlHgNO at its relaxed geometry, with properties calculated at the GGA-PBE level.

a b c (Å): 5.724 6.960 5.348
angles (deg): 90.00 90.00 90.00
Space group Pca2_1 (No. 29)
One atom of each set of equivalent atoms:
Al1 0.092 0.107 0.000 x4
Hg1 0.049 0.652 0.034 x4
N1 0.110 0.075 0.647 x4
O1 0.025 0.659 0.566 x4

## Properties
Density   8.0 g cm⁻³

Most stable structure - #two; separation to the second - 0.9 kJ/mol of atoms.

#one
Below is crystalline AlHgNO at its relaxed geometry, with properties calculated at the GGA-PBE level.

a b c (Å): 3.212 6.026 5.667
angles (deg): 90.00 90.00 90.00
Space group Pmc2_1 (No. 26)
One atom of each set of equivalent atoms:
Al1 0.000 0.150 0.000 x2
Hg1 0.500 0.324 0.476 x2
N1 0.000 0.108 0.324 x2
O1 0.500 0.290 0.927 x2

## Properties
Density   7.8 g cm⁻³

#two
Below is crystalline AlHgNO at its relaxed geometry, with properties calculated at the GGA-PBE level.

a b c (Å): 3.229 6.072 5.563
angles (deg): 90.00 90.00 90.00
Space group Pmc2_1 (No. 26)
One atom of each set of equivalent atoms:
Al1 0.000 0.134 0.000 x2
Hg1 0.500 0.385 0.543 x2
N1 0.500 0.274 0.913 x2
O1 0.000 0.112 0.323 x2

## Properties
Density   7.8 g cm⁻³

Most stable structure - #two; separation to the second - 11.7 kJ/mol of atoms.

#one
Below is crystalline NbAlNiHg at its relaxed geometry, with properties calculated at the GGA-PBE level.

a b c (Å): 6.395 6.395 6.395
angles (deg): 90.00 90.00 90.00
Space group F-43m (No. 216)
One atom of each set of equivalent atoms:
Nb1 0.000 0.000 0.000 x4
Al1 0.250 0.250 0.250 x4
Ni1 0.000 0.000 0.500 x4
Hg1 0.250 0.250 0.750 x4

## Properties
Density   9.6 g cm⁻³

#two
Below is crystalline NbAlNiHg at its relaxed geometry, with properties calculated at the GGA-PBE level.

a b c (Å): 6.395 6.395 6.395
angles (deg): 90.00 90.00 90.00
Space group F-43m (No. 216)
One atom of each set of equivalent atoms:
Nb1 0.000 0.000 0.000 x4
Al1 0.000 0.000 0.500 x4
Ni1 0.250 0.250 0.750 x4
Hg1 0.250 0.250 0.250 x4

## Properties
Density   9.6 g cm⁻³

Most stable structure - #two; separation to the second - 2.1 kJ/mol of atoms.